[1]
Here is an optimized crystal structure of Tm2Hg5Bi from the Alexandria database. Energies are from PBE.

Summary:
ΔH_f (0 K) in eV per atom: -0.321
N(E_F) in states/eV/cell: 7.57

Unit cell a=6.7377 b=13.4804 c=4.3654 alpha=90.00 beta=90.00 gamma=90.00
Space group Pbam (No. 55)
One atom of each set of equivalent atoms:
1 Tm 0.2327 0.1211 0.0000
2 Hg 0.0000 0.5000 0.5000
3 Hg 0.0393 0.7458 0.5000
4 Hg 0.2170 0.3635 0.0000
5 Bi 0.0000 0.0000 0.5000



[2]
Here is an optimized crystal structure of KRhN2 from the Alexandria database. Energies are from PBE.

Summary:
Energy relative to the lowest polymorph listed for this composition in meV per atom: 0
N(E_F) in states/eV/cell: 12.19

Unit cell a=5.9063 b=5.9063 c=7.6834 alpha=90.00 beta=90.00 gamma=90.00
Space group I-42d (No. 122)
One atom of each set of equivalent atoms:
1 K 0.0000 0.0000 0.0000
2 Rh 0.0000 0.0000 0.5000
3 N 0.1254 0.2500 0.6250



[3]
Here is an optimized crystal structure of MgZr2Ta from the Alexandria database. Energies are from PBE.

Summary:
ΔH_f (0 K) in eV per atom: 0.161
N(E_F) in states/eV/cell: 10.00

Unit cell a=4.4201 b=4.4201 c=8.6200 alpha=90.00 beta=90.00 gamma=90.00
Space group I4/mmm (No. 139)
One atom of each set of equivalent atoms:
1 Mg 0.0000 0.0000 0.0000
2 Zr 0.0000 0.5000 0.2500
3 Ta 0.0000 0.0000 0.5000



[4]
Here is an optimized crystal structure of Ba2SnHg from the Alexandria database. Energies are from PBE.

Summary:
ΔH_f (0 K) in eV per atom: -0.574
Energy relative to the lowest polymorph listed for this composition in meV per atom: 62
N(E_F) in states/eV/cell: 2.23

Unit cell a=6.0432 b=6.0432 c=4.2025 alpha=90.00 beta=90.00 gamma=90.00
Space group P4/mmm (No. 123)
One atom of each set of equivalent atoms:
1 Ba 0.0000 0.5000 0.0000
2 Sn 0.0000 0.0000 0.5000
3 Hg 0.5000 0.5000 0.5000



[5]
Here is an optimized crystal structure of Rb2NbNi2 from the Alexandria database. Energies are from PBE.

Summary:
ΔH_f (0 K) in eV per atom: 0.891
Energy relative to the lowest polymorph listed for this composition in meV per atom: 0
N(E_F) in states/eV/cell: 3.56

Unit cell a=6.4300 b=6.4300 c=6.0608 alpha=90.00 beta=90.00 gamma=90.00
Space group P4/mbm (No. 127)
One atom of each set of equivalent atoms:
1 Rb 0.1808 0.3192 0.0000
2 Nb 0.0000 0.0000 0.5000
3 Ni 0.1282 0.6282 0.5000



[6]
Here is an optimized crystal structure of LaTa2Mo from the Alexandria database. Energies are from PBE.

Summary:
ΔH_f (0 K) in eV per atom: 0.322
Energy relative to the lowest polymorph listed for this composition in meV per atom: 115
N(E_F) in states/eV/cell: 10.48

Unit cell a=3.2729 b=4.9920 c=9.9423 alpha=90.00 beta=90.00 gamma=90.00
Space group Cmm2 (No. 35)
One atom of each set of equivalent atoms:
1 La 0.0000 0.0000 0.0000
2 Ta 0.0000 0.0000 0.4738
3 Ta 0.0000 0.5000 0.7036
4 Mo 0.0000 0.5000 0.2656



[7]
Here is an optimized crystal structure of GdAsO4 from the Alexandria database. Energies are from PBE.

Summary:
Energy relative to the lowest polymorph listed for this composition in meV per atom: 21
N(E_F) in states/eV/cell: 0.00

Unit cell a=5.1001 b=5.1001 c=11.4958 alpha=90.00 beta=90.00 gamma=90.00
Space group I4_1/a (No. 88, origin choice 2)
One atom of each set of equivalent atoms:
1 Gd 0.0000 0.2500 0.1250
2 As 0.0000 0.2500 0.6250
3 O 0.1454 0.0002 0.2964



[8]
Here is an optimized crystal structure of ReAgW from the Alexandria database. Energies are from PBE.

Summary:
ΔH_f (0 K) in eV per atom: 0.460
Energy relative to the lowest polymorph listed for this composition in meV per atom: 0
N(E_F) in states/eV/cell: 8.90

Unit cell a=3.1061 b=4.5013 c=14.1751 alpha=90.00 beta=90.00 gamma=90.00
Space group Fmm2 (No. 42)
One atom of each set of equivalent atoms:
1 Re 0.0000 0.0000 0.0000
2 Ag 0.0000 0.0000 0.6755
3 W 0.0000 0.0000 0.3507



[9]
Here is an optimized crystal structure of Cu2MoRh from the Alexandria database. Energies are from PBE.

Summary:
ΔH_f (0 K) in eV per atom: 0.130
N(E_F) in states/eV/cell: 5.70

Unit cell a=2.9281 b=4.3466 c=8.4515 alpha=90.00 beta=90.00 gamma=90.00
Space group Imm2 (No. 44)
One atom of each set of equivalent atoms:
1 Cu 0.0000 0.0000 0.0000
2 Cu 0.0000 0.5000 0.2745
3 Mo 0.0000 0.5000 0.7569
4 Rh 0.0000 0.0000 0.5213